A plane-wave DFT calculation with GGA-PBEsol was carried out for a relaxed LiInRh2 crystal.

Results
Electronic total energy in eV per atom: -5.50
D(E_F) in states/eV/cell: 4.6
Total magnetization in μB/atom: 0.00

a b c (Å): 3.9664 3.9664 4.6648
angles (deg): 115.16 115.16 90.00
With the nearest neighbours (Å) after each atom.
Atoms (fractional coordinates):
1 Rh 0.0000 0.0000 0.0000  4 Li 2.72, 4 Rh 2.72, 4 In 2.80
2 Rh 0.7500 0.2500 0.5000  4 In 2.72, 4 Rh 2.72, 4 Li 2.80
3 In 0.5000 0.5000 0.0000  4 Li 2.72, 8 Rh 2.72-2.80
4 Li 0.2500 0.7500 0.5000  4 In 2.72, 8 Rh 2.72-2.80


A plane-wave DFT calculation with GGA-PBEsol was carried out for a relaxed LiInRh2 crystal.

Results
Electronic total energy in eV per atom: -5.49
D(E_F) in states/eV/cell: 4.7
Total magnetization in μB/atom: 0.24

a b c (Å): 4.3659 4.3659 4.3659
angles (deg): 60.00 60.00 60.00
With the nearest neighbours (Å) after each atom.
Atoms (fractional coordinates):
1 Rh 0.0000 0.0000 0.0000  4 Li 2.67, 4 Rh 2.67
2 Rh 0.2500 0.2500 0.2500  4 Rh 2.67, 4 In 2.67
3 In 0.5000 0.5000 0.5000  4 Li 2.67, 4 Rh 2.67
4 Li 0.7500 0.7500 0.7500  4 In 2.67, 4 Rh 2.67


A plane-wave DFT calculation with GGA-PBEsol was carried out for a relaxed LiInRh2 crystal.

Results
Electronic total energy in eV per atom: -5.51
D(E_F) in states/eV/cell: 1.5
Total magnetization in μB/atom: 0.00

a b c (Å): 2.8062 4.0236 5.2808
angles (deg): 90.00 105.24 90.00
With the nearest neighbours (Å) after each atom.
Atoms (fractional coordinates):
1 Rh 0.8824 0.0000 0.7274  2 Li 2.44, 1 Rh 2.65
2 Rh 0.1176 0.0000 0.2726  2 Li 2.44, 1 Rh 2.65
3 Li 0.5000 0.5000 0.5000  4 Rh 2.44, 2 In 2.64
4 In 0.5000 0.5000 0.0000  2 Li 2.64, 8 Rh 2.79-2.84, 2 In 2.81


A plane-wave DFT calculation with GGA-PBEsol was carried out for a relaxed LiInRh2 crystal.

Results
Electronic total energy in eV per atom: -5.40
D(E_F) in states/eV/cell: 5.4
Total magnetization in μB/atom: 0.03

a b c (Å): 3.0821 3.0821 6.0483
angles (deg): 90.00 90.00 90.00
With the nearest neighbours (Å) after each atom.
Atoms (fractional coordinates):
1 Li 0.5000 0.5000 0.7760  4 Rh 2.49, 4 In 2.71
2 Rh 0.5000 0.5000 0.2405  4 Rh 2.71, 4 In 2.72, 1 Li 2.81
3 Rh 0.0000 0.0000 0.9741  4 Li 2.49, 4 Rh 2.71
4 In 0.0000 0.0000 0.5094  4 Li 2.71, 5 Rh 2.72-2.81


A plane-wave DFT calculation with GGA-PBEsol was carried out for a relaxed LiInRh crystal.

Results
Electronic total energy in eV per atom: -4.72
D(E_F) in states/eV/cell: 2.3
Total magnetization in μB/atom: 0.00

a b c (Å): 4.2638 4.2638 5.6045
angles (deg): 90.00 90.00 120.00
With the nearest neighbours (Å) after each atom.
Atoms (fractional coordinates):
1 Li 0.6667 0.3333 0.7500  3 In 2.46
2 Li 0.3333 0.6667 0.2500  3 In 2.46
3 Rh 0.0000 0.0000 0.0000  2 Rh 2.80, 6 In 2.83, 6 Li 2.83
4 Rh 0.0000 0.0000 0.5000  2 Rh 2.80, 6 In 2.83, 6 Li 2.83
5 In 0.6667 0.3333 0.2500  3 Li 2.46
6 In 0.3333 0.6667 0.7500  3 Li 2.46


A plane-wave DFT calculation with GGA-PBEsol was carried out for a relaxed LiInRh crystal.

Results
Electronic total energy in eV per atom: -4.68
D(E_F) in states/eV/cell: 1.2
Total magnetization in μB/atom: 0.00

a b c (Å): 2.9142 4.2307 4.2307
angles (deg): 120.00 90.00 90.00
With the nearest neighbours (Å) after each atom.
Atoms (fractional coordinates):
1 Rh 0.4037 0.6667 0.3333  3 Li 2.53, 3 In 2.76
2 In 0.9633 0.0000 0.0000  3 Li 2.63, 6 Rh 2.76-2.94, 2 In 2.91
3 Li 0.6330 0.3333 0.6667  3 Rh 2.53, 3 In 2.63


A plane-wave DFT calculation with GGA-PBEsol was carried out for a relaxed LiInRh2 crystal.

Results
Electronic total energy in eV per atom: -5.51
D(E_F) in states/eV/cell: 2.0
Total magnetization in μB/atom: 0.00

a b c (Å): 2.8679 4.5856 4.7921
angles (deg): 101.77 90.00 108.22
With the nearest neighbours (Å) after each atom.
Atoms (fractional coordinates):
1 Rh 0.7521 0.5041 0.7678  3 Li 2.63-2.67, 6 Rh 2.65-2.93, 3 In 2.70-2.74
2 Rh 0.2479 0.4959 0.2322  3 Li 2.63-2.67, 6 Rh 2.65-2.93, 3 In 2.70-2.74
3 In 0.0000 0.0000 0.5000  6 Rh 2.70-2.74, 4 Li 2.79, 2 In 2.87
4 Li 0.5000 0.0000 0.0000  6 Rh 2.63-2.67, 4 In 2.79, 2 Li 2.87


A plane-wave DFT calculation with GGA-PBEsol was carried out for a relaxed LiIn4Rh crystal.

Results
Electronic total energy in eV per atom: -3.39
D(E_F) in states/eV/cell: 3.9
Total magnetization in μB/atom: 0.00

a b c (Å): 5.6906 5.6906 5.6906
angles (deg): 60.00 60.00 60.00
With the nearest neighbours (Å) after each atom.
Atoms (fractional coordinates):
1 Li 0.7500 0.7500 0.7500  12 In 3.34, 4 Rh 3.48
2 Rh 0.0000 0.0000 0.0000  12 In 3.34, 4 Li 3.48
3 In 0.3747 0.3747 0.8758  6 In 2.84-2.85
4 In 0.3747 0.8758 0.3747  6 In 2.84-2.85
5 In 0.8758 0.3747 0.3747  6 In 2.84-2.85
6 In 0.3747 0.3747 0.3747  6 In 2.84-2.85